(1)
Ba4SrPt SCAN PBEsol geometry; space group = F-43m; energy relative to the elements = 0.54 eV per atom; magnetic moment = 2.7 μB/cell
1.0
0.000 5.014 5.014
5.014 0.000 5.014
5.014 5.014 0.000
Ba Sr Pt
4 1 1
Cartesian
3.791 3.791 3.791 Ba
6.237 6.237 3.791 Ba
6.237 3.791 6.237 Ba
3.791 6.237 6.237 Ba
0.000 0.000 0.000 Sr
7.521 7.521 7.521 Pt

=====

(2)
BaSrPt SCAN PBEsol geometry; ΔE to the lowest computed polymorph = 0.0 meV/atom; space group = F-43m; energy relative to the elements = -0.72 eV per atom; magnetic moment = 0.0 μB/cell
1.0
0.000 3.725 3.725
3.725 0.000 3.725
3.725 3.725 0.000
Ba Sr Pt
1 1 1
Cartesian
0.000 0.000 0.000 Ba
3.725 3.725 3.725 Sr
5.587 5.587 5.587 Pt

=====

(3)
Ba2SrPt SCAN PBEsol geometry; ΔE to the lowest computed polymorph = 30.2 meV/atom; space group = Amm2; energy relative to the elements = -0.53 eV per atom; magnetic moment = 0.2 μB/cell
1.0
4.414 0.000 0.000
0.000 3.175 6.638
0.000 -3.175 6.638
Ba Sr Pt
2 1 1
Cartesian
0.000 0.000 0.000 Ba
2.207 0.000 4.552 Ba
0.000 0.000 9.226 Sr
2.207 0.000 11.182 Pt

=====

(4)
BaSr2Pt SCAN PBEsol geometry; ΔE to the lowest computed polymorph = 0.0 meV/atom; space group = Amm2; energy relative to the elements = -0.56 eV per atom; magnetic moment = 0.0 μB/cell
1.0
4.374 0.000 0.000
0.000 3.025 6.838
0.000 -3.025 6.838
Ba Sr Pt
1 2 1
Cartesian
0.000 0.000 0.000 Ba
0.000 0.000 9.621 Sr
2.187 0.000 4.703 Sr
2.187 0.000 11.573 Pt

=====

How do the records compare in E? In the order shown, they have -41.239, -44.727, -43.422, -39.131 eV per atom.